<P>
The following is a DFT calculation (PBE) of a relaxed structure of Sc2CdTcC.

Summary:
magnetic moment: 0.000 Bohr magnetons per cell
space-group type: P4/mmm, No. 123

Geometry as POSCAR:
```
Sc2CdTcC
1.0
-2.6369 4.3416 0.0386
-3.1384 -1.8912 -1.6781
-1.7896 -1.1280 4.6183
C Sc Cd Tc
1 2 1 1
Cartesian
-1.5692 -0.9456 -0.8390
-0.8948 -0.5640 2.3092
-1.3184 2.1708 0.0193
-3.7825 0.6612 1.4894
0.0000 0.0000 0.0000
```

<Q>
The following is a DFT calculation (PBE) of a relaxed structure of Sc2CdTcC.

Summary:
magnetic moment: 0.000 Bohr magnetons per cell
space-group type: P4/mmm, No. 123

Geometry as POSCAR:
```
Sc2CdTcC
1.0
-2.9662 -3.5020 -0.2720
2.2253 -1.5980 -3.6920
2.3726 -2.1944 2.3798
Sc Cd Tc C
2 1 1 1
Cartesian
1.1126 -0.7990 -1.8460
-1.4831 -1.7510 -0.1360
0.8158 -3.6472 -0.7921
1.1863 -1.0972 1.1899
0.0000 0.0000 0.0000
```

Which structure wins on stability? <Q> wins.

<P>
The following is a DFT calculation (PBE) of a relaxed structure of Zr2ScCdC.

Summary:
magnetic moment: 0.000 Bohr magnetons per cell
space-group type: P4/mmm, No. 123

Geometry as POSCAR:
```
Zr2ScCdC
1.0
4.5916 0.0000 0.0000
0.0000 4.5916 0.0000
0.0000 0.0000 4.5379
Cd Sc Zr C
1 1 2 1
Cartesian
2.2958 2.2958 2.2689
0.0000 0.0000 2.2689
0.0000 2.2958 0.0000
2.2958 0.0000 0.0000
0.0000 0.0000 0.0000
```

<Q>
The following is a DFT calculation (PBE) of a relaxed structure of Zr2ScCdC.

Summary:
magnetic moment: 0.928 Bohr magnetons per cell
space-group type: P4/mmm, No. 123

Geometry as POSCAR:
```
Zr2ScCdC
1.0
-0.9660 -1.6757 -4.6070
0.6846 -4.8780 1.6307
-4.8577 -0.3043 1.1293
Zr Cd C Sc
2 1 1 1
Cartesian
-0.4830 -0.8378 -2.3035
-2.4289 -0.1521 0.5646
0.3423 -2.4390 0.8154
-2.5696 -3.4290 -0.9235
0.0000 0.0000 0.0000
```

Which structure wins on stability? <P> wins.

<P>
The following is a DFT calculation (PBE) of a relaxed structure of CdC2Se.

Summary:
magnetic moment: 0.000 Bohr magnetons per cell
space-group type: I-42d, No. 122

Geometry as POSCAR:
```
CdC2Se
1.0
-0.0256 4.8537 1.5835
-4.0925 -0.9663 2.8956
0.5895 0.8549 5.6197
Se C Cd
2 4 2
Cartesian
-2.7810 0.9162 5.3774
-2.0591 1.9437 2.2395
-2.4151 0.4995 3.5049
-2.9226 4.0990 7.9652
-0.3787 2.8436 2.6642
-1.3407 2.0427 6.0632
-0.7476 3.8262 4.7214
0.0000 0.0000 0.0000
```

<Q>
The following is a DFT calculation (PBE) of a relaxed structure of CdC2Se.

Summary:
magnetic moment: 0.000 Bohr magnetons per cell
space-group type: Fm-3m, No. 225

Geometry as POSCAR:
```
CdC2Se
1.0
0.0000 3.0052 3.0052
3.0052 0.0000 3.0052
3.0052 3.0052 0.0000
C Se Cd
2 1 1
Cartesian
4.5078 4.5078 4.5078
1.5026 1.5026 1.5026
0.0000 0.0000 0.0000
3.0052 3.0052 3.0052
```

Which structure wins on stability? <P> wins.